Record 1
The following is a PBE calculation of a relaxed structure of PrDySi, from the Alexandria database.

Output
E above lowest polymorph: 9.3 kJ per mole of atoms
ΔE_f (raw): -42 kJ per mole of atoms

Cell and atoms, written as POSCAR:
```
PrDySi
1.0
4.960 0.000 0.000
2.480 4.296 0.000
2.480 1.432 4.050
Pr Si Dy
1 1 1
direct
0.500 0.500 0.500 Pr
0.250 0.250 0.250 Si
0.000 0.000 0.000 Dy
```



Record 2
The following is a PBE calculation of a relaxed structure of Pr3DySi4, from the Alexandria database.

Output
ΔE_f (raw): -53 kJ per mole of atoms

Cell and atoms, written as POSCAR:
```
Pr3DySi4
1.0
4.242 0.000 0.000
0.000 6.275 -0.726
-2.121 -2.212 8.367
Pr Dy Si
3 1 4
direct
0.000 0.500 0.000 Pr
0.193 0.193 0.387 Pr
0.807 0.807 0.613 Pr
0.500 0.000 0.000 Dy
0.371 0.555 0.741 Si
0.629 0.445 0.259 Si
0.629 0.814 0.259 Si
0.371 0.186 0.741 Si
```



Record 3
The following is a PBE calculation of a relaxed structure of Pr2DySi, from the Alexandria database.

Output
E above lowest polymorph: 15.6 kJ per mole of atoms
ΔE_f (raw): -7 kJ per mole of atoms

Cell and atoms, written as POSCAR:
```
Pr2DySi
1.0
3.851 0.000 0.000
1.926 3.335 0.000
1.926 1.112 9.990
Pr Si Dy
2 1 1
direct
0.268 0.268 0.195 Pr
0.732 0.732 0.805 Pr
0.000 0.000 0.000 Si
0.500 0.500 0.500 Dy
```



Record 4
The following is a PBE calculation of a relaxed structure of PrDySi, from the Alexandria database.

Output
E above lowest polymorph: 3.5 kJ per mole of atoms
ΔE_f (raw): -48 kJ per mole of atoms

Cell and atoms, written as POSCAR:
```
PrDySi
1.0
4.216 0.760 0.092
1.063 6.084 0.738
-2.253 -0.389 6.592
Pr Dy Si
2 2 2
direct
0.704 0.587 0.405 Pr
0.156 0.964 0.688 Pr
0.828 0.056 0.123 Dy
0.032 0.495 0.970 Dy
0.470 0.356 0.708 Si
0.390 0.195 0.385 Si
```



Record 5
The following is a PBE calculation of a relaxed structure of PrDySi, from the Alexandria database.

Output
E above lowest polymorph: 21.2 kJ per mole of atoms
ΔE_f (raw): -30 kJ per mole of atoms

Cell and atoms, written as POSCAR:
```
PrDySi
1.0
-0.883 -2.351 3.466
-1.268 -3.601 -2.766
4.475 0.417 1.423
Pr Si Dy
1 1 1
direct
0.700 0.667 0.333 Pr
0.068 0.000 0.000 Si
0.232 0.333 0.667 Dy
```



Record 6
The following is a PBE calculation of a relaxed structure of PrDyZnSi, from the Alexandria database.

Output
E above lowest polymorph: 0.0 kJ per mole of atoms
ΔE_f (raw): -51 kJ per mole of atoms

Cell and atoms, written as POSCAR:
```
PrDyZnSi
1.0
4.249 0.000 0.000
0.000 4.090 0.000
-2.124 0.000 5.597
Pr Dy Zn Si
1 1 1 1
direct
0.147 0.000 0.294 Pr
0.862 0.500 0.723 Dy
0.564 0.500 0.129 Zn
0.427 0.000 0.854 Si
```



Record 7
The following is a PBE calculation of a relaxed structure of PrDyZnSi, from the Alexandria database.

Output
E above lowest polymorph: 9.3 kJ per mole of atoms
ΔE_f (raw): -42 kJ per mole of atoms

Cell and atoms, written as POSCAR:
```
PrDyZnSi
1.0
-4.227 2.673 0.934
-4.561 -2.199 -0.493
-2.793 -1.017 4.129
Pr Zn Si Dy
1 1 1 1
direct
0.000 0.000 0.000 Pr
0.750 0.750 0.750 Zn
0.250 0.250 0.250 Si
0.500 0.500 0.500 Dy
```



Record 8
The following is a PBE calculation of a relaxed structure of Pr6Sm8Dy, from the Alexandria database.

Output
ΔH_f (0 K): 0.11 eV per atom

Cell and atoms, written as POSCAR:
```
Pr6Sm8Dy
1.0
-6.289 -6.644 1.609
0.749 -5.377 7.537
-5.749 0.572 6.703
Pr Sm Dy
6 8 1
direct
0.461 0.901 0.873 Pr
0.099 0.235 0.127 Pr
0.235 0.539 0.127 Pr
0.765 0.461 0.873 Pr
0.901 0.765 0.873 Pr
0.539 0.099 0.127 Pr
0.250 0.283 0.580 Sm
0.717 0.113 0.420 Sm
0.113 0.750 0.420 Sm
0.577 0.577 0.269 Sm
0.423 0.423 0.731 Sm
0.887 0.250 0.580 Sm
0.283 0.887 0.580 Sm
0.750 0.717 0.420 Sm
0.000 0.000 0.000 Dy
```



Record 9
The following is a PBE calculation of a relaxed structure of PrSm14Dy, from the Alexandria database.

Output
ΔH_f (0 K): 0.00 eV per atom

Cell and atoms, written as POSCAR:
```
PrSm14Dy
1.0
-1.470 -6.633 2.638
1.606 0.844 -7.058
11.383 -1.567 2.402
Pr Sm Dy
1 14 1
direct
0.209 0.791 0.500 Pr
0.041 0.959 0.000 Sm
0.542 0.458 0.000 Sm
0.209 0.293 0.500 Sm
0.041 0.458 0.000 Sm
0.707 0.791 0.500 Sm
0.542 0.959 0.000 Sm
0.376 0.126 0.750 Sm
0.376 0.126 0.250 Sm
0.874 0.624 0.750 Sm
0.874 0.624 0.250 Sm
0.375 0.625 0.752 Sm
0.375 0.625 0.248 Sm
0.875 0.125 0.749 Sm
0.875 0.125 0.251 Sm
0.708 0.292 0.500 Dy
```



Record 10
The following is a PBE calculation of a relaxed structure of Pr3Sm4Dy5, from the Alexandria database.

Output
E above lowest polymorph: 19.8 kJ per mole of atoms
ΔH_f (0 K): 0.22 eV per atom

Cell and atoms, written as POSCAR:
```
Pr3Sm4Dy5
1.0
6.002 0.000 0.000
3.001 7.623 -2.699
3.001 -0.917 9.267
Pr Sm Dy
3 4 5
direct
0.522 0.687 0.268 Pr
0.000 0.500 0.500 Pr
0.478 0.313 0.732 Pr
0.861 0.222 0.056 Sm
0.170 0.039 0.621 Sm
0.830 0.961 0.379 Sm
0.139 0.778 0.944 Sm
0.625 0.948 0.803 Dy
0.500 0.500 0.500 Dy
0.216 0.456 0.112 Dy
0.784 0.544 0.888 Dy
0.375 0.052 0.197 Dy
```



Record 11
The following is a PBE calculation of a relaxed structure of Pr6Sm2Dy, from the Alexandria database.

Output
E above lowest polymorph: 44.1 kJ per mole of atoms
ΔH_f (0 K): 0.58 eV per atom

Cell and atoms, written as POSCAR:
```
Pr6Sm2Dy
1.0
8.343 0.000 0.000
0.000 8.343 0.000
0.000 0.000 10.634
Pr Sm Dy
12 4 2
direct
0.262 0.262 0.333 Pr
0.738 0.738 0.333 Pr
0.238 0.762 0.833 Pr
0.762 0.238 0.833 Pr
0.238 0.762 0.167 Pr
0.762 0.238 0.167 Pr
0.262 0.262 0.667 Pr
0.738 0.738 0.667 Pr
0.261 0.261 0.000 Pr
0.739 0.739 0.000 Pr
0.239 0.761 0.500 Pr
0.761 0.239 0.500 Pr
0.000 0.000 0.332 Sm
0.500 0.500 0.832 Sm
0.500 0.500 0.168 Sm
0.000 0.000 0.668 Sm
0.000 0.000 0.000 Dy
0.500 0.500 0.500 Dy
```



Record 12
The following is a PBE calculation of a relaxed structure of Pr8Sm2Dy3, from the Alexandria database.

Output
E above lowest polymorph: 0.0 kJ per mole of atoms
ΔH_f (0 K): 0.16 eV per atom

Cell and atoms, written as POSCAR:
```
Pr8Sm2Dy3
1.0
6.126 0.746 0.445
-0.832 10.328 -5.856
2.342 -1.850 8.500
Pr Sm Dy
8 2 3
direct
0.759 0.415 0.831 Pr
0.241 0.585 0.169 Pr
0.102 0.861 0.722 Pr
0.898 0.139 0.278 Pr
0.344 0.923 0.325 Pr
0.344 0.402 0.325 Pr
0.656 0.598 0.675 Pr
0.656 0.077 0.675 Pr
0.662 0.690 0.381 Sm
0.338 0.310 0.619 Sm
0.500 0.000 0.000 Dy
0.000 0.267 0.000 Dy
0.000 0.733 0.000 Dy
```



Record 13
The following is a PBE calculation of a relaxed structure of Pr6Sm7Dy16, from the Alexandria database.

Output
ΔH_f (0 K): 0.23 eV per atom

Cell and atoms, written as POSCAR:
```
Pr6Sm7Dy16
1.0
9.757 0.000 5.633
3.252 9.199 5.633
0.000 0.000 11.267
Pr Sm Dy
6 7 16
direct
0.267 0.733 0.267 Pr
0.733 0.267 0.733 Pr
0.733 0.267 0.267 Pr
0.267 0.733 0.733 Pr
0.733 0.733 0.267 Pr
0.267 0.267 0.733 Pr
0.000 0.000 0.000 Sm
0.500 0.000 0.500 Sm
0.000 0.500 0.000 Sm
0.000 0.500 0.500 Sm
0.500 0.000 0.000 Sm
0.000 0.000 0.500 Sm
0.500 0.500 0.000 Sm
0.871 0.871 0.386 Dy
0.871 0.871 0.871 Dy
0.871 0.386 0.871 Dy
0.386 0.871 0.871 Dy
0.129 0.129 0.129 Dy
0.129 0.129 0.614 Dy
0.129 0.614 0.129 Dy
0.614 0.129 0.129 Dy
0.651 0.651 0.047 Dy
0.651 0.651 0.651 Dy
0.651 0.047 0.651 Dy
0.047 0.651 0.651 Dy
0.349 0.349 0.349 Dy
0.349 0.349 0.953 Dy
0.349 0.953 0.349 Dy
0.953 0.349 0.349 Dy
```



Record 14
The following is a PBE calculation of a relaxed structure of PrSmDy5, from the Alexandria database.

Output
E above lowest polymorph: 85.8 kJ per mole of atoms
ΔH_f (0 K): 1.08 eV per atom

Cell and atoms, written as POSCAR:
```
PrSmDy5
1.0
-5.625 -0.352 1.241
-2.401 -7.486 0.411
-1.177 -2.481 7.378
Pr Sm Dy
1 1 5
direct
0.000 0.000 0.000 Pr
0.500 0.500 0.500 Sm
0.500 0.180 0.820 Dy
0.500 0.820 0.180 Dy
0.748 0.252 0.252 Dy
0.252 0.748 0.748 Dy
0.000 0.500 0.500 Dy
```



Record 15
The following is a PBE calculation of a relaxed structure of PrSm4Dy7, from the Alexandria database.

Output
E above lowest polymorph: 16.7 kJ per mole of atoms
ΔH_f (0 K): 0.26 eV per atom

Cell and atoms, written as POSCAR:
```
PrSm4Dy7
1.0
-4.148 3.316 2.642
-9.996 -3.201 -5.016
-2.851 -2.660 5.520
Pr Sm Dy
1 4 7
direct
0.000 0.000 0.000 Pr
0.634 0.224 0.507 Sm
0.366 0.776 0.493 Sm
0.762 0.676 0.800 Sm
0.238 0.324 0.200 Sm
0.789 0.922 0.499 Dy
0.211 0.078 0.501 Dy
0.064 0.676 0.197 Dy
0.936 0.324 0.803 Dy
0.368 0.500 0.765 Dy
0.500 0.000 0.000 Dy
0.632 0.500 0.235 Dy
```



Record 16
The following is a PBE calculation of a relaxed structure of Pr8Sm3Dy4, from the Alexandria database.

Output
E above lowest polymorph: 15.6 kJ per mole of atoms
ΔH_f (0 K): 0.32 eV per atom

Cell and atoms, written as POSCAR:
```
Pr8Sm3Dy4
1.0
-3.760 -5.340 2.377
8.234 -2.762 -3.615
5.642 3.613 6.604
Pr Sm Dy
8 3 4
direct
0.775 0.294 0.294 Pr
0.000 0.705 0.295 Pr
0.215 0.246 0.246 Pr
0.500 0.754 0.246 Pr
0.500 0.246 0.754 Pr
0.785 0.754 0.754 Pr
0.000 0.295 0.705 Pr
0.225 0.706 0.706 Pr
0.500 0.500 0.000 Sm
0.500 0.000 0.500 Sm
0.500 0.500 0.500 Sm
0.500 0.000 0.000 Dy
0.000 0.500 0.000 Dy
0.000 0.000 0.000 Dy
0.000 0.000 0.500 Dy
```



Record 17
The following is a PBE calculation of a relaxed structure of PrSm3Dy6, from the Alexandria database.

Output
E above lowest polymorph: 0.0 kJ per mole of atoms
ΔH_f (0 K): 0.15 eV per atom

Cell and atoms, written as POSCAR:
```
PrSm3Dy6
1.0
-2.842 -4.166 3.719
8.256 -7.114 -1.659
0.561 7.117 8.400
Pr Sm Dy
2 6 12
direct
0.137 0.202 0.798 Pr
0.637 0.798 0.202 Pr
0.462 0.937 0.715 Sm
0.962 0.715 0.937 Sm
0.069 0.390 0.610 Sm
0.569 0.610 0.390 Sm
0.962 0.063 0.285 Sm
0.462 0.285 0.063 Sm
0.037 0.712 0.619 Dy
0.537 0.619 0.712 Dy
0.370 0.536 0.957 Dy
0.870 0.957 0.536 Dy
0.400 0.957 0.043 Dy
0.641 0.280 0.720 Dy
0.141 0.720 0.280 Dy
0.900 0.043 0.957 Dy
0.370 0.043 0.464 Dy
0.870 0.464 0.043 Dy
0.037 0.381 0.288 Dy
0.537 0.288 0.381 Dy
```



Record 18
The following is a PBE calculation of a relaxed structure of PrSm2Dy3, from the Alexandria database.

Output
E above lowest polymorph: 0.0 kJ per mole of atoms
ΔH_f (0 K): 0.07 eV per atom

Cell and atoms, written as POSCAR:
```
PrSm2Dy3
1.0
-3.381 -4.366 -3.777
5.722 -0.541 -3.424
2.083 -5.585 6.790
Pr Sm Dy
2 4 6
direct
0.086 0.914 0.250 Pr
0.914 0.086 0.750 Pr
0.871 0.376 0.126 Sm
0.624 0.129 0.374 Sm
0.129 0.624 0.874 Sm
0.376 0.871 0.626 Sm
0.165 0.332 0.498 Dy
0.668 0.835 0.002 Dy
0.835 0.668 0.502 Dy
0.332 0.165 0.998 Dy
0.420 0.580 0.250 Dy
0.580 0.420 0.750 Dy
```



Record 19
The following is a PBE calculation of a relaxed structure of Pr6Sm4Dy, from the Alexandria database.

Output
E above lowest polymorph: 0.0 kJ per mole of atoms
ΔH_f (0 K): 0.28 eV per atom

Cell and atoms, written as POSCAR:
```
Pr6Sm4Dy
1.0
-5.083 4.860 -7.139
9.351 -1.410 3.315
3.872 -9.015 2.039
Pr Sm Dy
6 4 1
direct
0.000 0.811 0.453 Pr
0.000 0.453 0.811 Pr
0.358 0.547 0.547 Pr
0.500 0.500 0.000 Pr
0.642 0.189 0.189 Pr
0.500 0.000 0.500 Pr
0.000 0.636 0.011 Sm
0.375 0.364 0.364 Sm
0.000 0.011 0.636 Sm
0.625 0.989 0.989 Sm
0.000 0.000 0.000 Dy
```



Record 20
The following is a PBE calculation of a relaxed structure of Pr7Sm16Dy6, from the Alexandria database.

Output
ΔH_f (0 K): 0.24 eV per atom

Cell and atoms, written as POSCAR:
```
Pr7Sm16Dy6
1.0
-8.743 -1.175 -7.153
-1.539 -9.803 -5.524
-8.710 -6.755 2.739
Pr Sm Dy
7 16 6
direct
0.000 0.000 0.000 Pr
0.500 0.000 0.500 Pr
0.000 0.500 0.000 Pr
0.000 0.500 0.500 Pr
0.500 0.000 0.000 Pr
0.000 0.000 0.500 Pr
0.500 0.500 0.000 Pr
0.874 0.874 0.379 Sm
0.874 0.874 0.874 Sm
0.874 0.379 0.874 Sm
0.379 0.874 0.874 Sm
0.126 0.126 0.126 Sm
0.126 0.126 0.621 Sm
0.126 0.621 0.126 Sm
0.621 0.126 0.126 Sm
0.651 0.651 0.047 Sm
0.651 0.651 0.651 Sm
0.651 0.047 0.651 Sm
0.047 0.651 0.651 Sm
0.349 0.349 0.349 Sm
0.349 0.349 0.953 Sm
0.349 0.953 0.349 Sm
0.953 0.349 0.349 Sm
0.264 0.736 0.264 Dy
0.736 0.264 0.736 Dy
0.736 0.264 0.264 Dy
0.264 0.736 0.736 Dy
0.736 0.736 0.264 Dy
0.264 0.264 0.736 Dy
```